A plane-wave DFT calculation with PBEsol was carried out for a relaxed LiCa2Zn2 crystal.

The space group is I4/mmm (No. 139) and the conventional cell measures 5.758, 5.758 and 7.829 Å, with angles of 90.00, 90.00 and 90.00 degrees. Symmetry generates all atoms from Li at (0.000, 0.000, 0.000), Ca at (0.000, 0.500, 0.250) and Zn at (0.000, 0.000, 0.350).

The value obtained for the volume is 25.96 Å³ per atom. The energy relative to the elements is -0.13 eV/f.u. Its crystal system is tetragonal.

A plane-wave DFT calculation with PBEsol was carried out for a relaxed CaCoH3 crystal.

The space group is Pm-3m (No. 221) and the conventional cell measures 3.438, 3.438 and 3.438 Å, with angles of 90.00, 90.00 and 90.00 degrees. Symmetry generates all atoms from Ca at (0.000, 0.000, 0.000), Co at (0.500, 0.500, 0.500) and H at (0.000, 0.500, 0.500).

The value obtained for the volume is 8.13 Å³ per atom. The electronic total energy comes out at -4.42 eV/atom. Its crystal system is cubic.

A plane-wave DFT calculation with PBEsol was carried out for a relaxed ZnTe crystal.

The space group is P6_422 (No. 181) and the conventional cell measures 4.2633, 4.2633 and 9.5720 Å, with angles of 90.00, 90.00 and 120.00 degrees. Symmetry generates all atoms from Zn at (0.0000, 0.5000, 0.3333) and Te at (0.0000, 0.5000, 0.8333).

The value obtained for the volume is 25.11 Å³ per atom. The electronic total energy comes out at -2.83 eV/atom. Its crystal system is hexagonal.

A plane-wave DFT calculation with PBEsol was carried out for a relaxed Cu2W crystal.

The space group is P-3m1 (No. 164) and the conventional cell measures 4.1449, 4.1449 and 2.5664 Å, with angles of 90.00, 90.00 and 120.00 degrees. Symmetry generates all atoms from Cu at (0.3333, 0.6667, 0.4877) and W at (0.0000, 0.0000, 0.0000).

The value obtained for the volume is 12.73 Å³ per atom. The energy relative to the elements is 1.08 eV/f.u. Its crystal system is trigonal.

A plane-wave DFT calculation with PBEsol was carried out for a relaxed ZnTe2Au crystal.

The space group is R-3m (No. 166, hexagonal axes) and the conventional cell measures 3.9534, 3.9534 and 24.4358 Å, with angles of 90.00, 90.00 and 120.00 degrees. Symmetry generates all atoms from Zn at (0.0000, 0.0000, 0.0000), Te at (0.0000, 0.0000, 0.3959) and Au at (0.0000, 0.0000, 0.5000).

The value obtained for the volume is 27.56 Å³ per atom. The electronic total energy comes out at -3.09 eV/atom. Its crystal system is trigonal.

A plane-wave DFT calculation with PBEsol was carried out for a relaxed LaCd2Au crystal.

The space group is P2/m (No. 10) and the conventional cell measures 3.940, 4.961 and 5.137 Å, with angles of 90.00, 103.14 and 90.00 degrees. Symmetry generates all atoms from La at (0.000, 0.000, 0.000), Cd at (0.341, 0.500, 0.718) and Au at (0.500, 0.000, 0.500).

The value obtained for the volume is 24.44 Å³ per atom. The energy relative to the elements is -1.38 eV/f.u. Its crystal system is monoclinic.